First-principles (PBE) data for crystalline NdHo2ErSc4 at its relaxed geometry, as listed in the Alexandria database.

Calculated values
Space group   C2/c
Energy of formation   432 meV per atom

a = 9.085 Å, b = 9.085 Å, c = 11.281 Å
α = 128.38°, β = 128.38°, γ = 88.38°
Last column: magnetic moment on the atom in μB.
Sites, in units of the cell vectors:
Nd (0.000, 0.500, 0.000)  0.26
Nd (0.000, 0.500, 0.500)  0.26
Ho (0.500, 0.000, 0.000)  0.26
Ho (0.500, 0.000, 0.500)  0.26
Ho (0.000, 0.000, 0.500)  0.32
Ho (0.500, 0.500, 0.000)  0.32
Er (0.500, 0.500, 0.500)  0.32
Er (0.000, 0.000, 0.000)  0.32
Sc (0.250, 0.751, 0.001)  0.34
Sc (0.749, 0.250, 0.499)  0.34
Sc (0.251, 0.750, 0.501)  0.34
Sc (0.750, 0.249, 0.999)  0.34
Sc (0.748, 0.749, 0.998)  0.35
Sc (0.751, 0.752, 0.502)  0.35
Sc (0.249, 0.248, 0.498)  0.35
Sc (0.252, 0.251, 0.002)  0.35

---

First-principles (PBE) data for crystalline Nd2Ho3Er6Sc at its relaxed geometry, as listed in the Alexandria database.

Calculated values
Space group   C2/m
Energy of formation   27 meV per atom

a = 6.089 Å, b = 6.089 Å, c = 11.678 Å
α = 94.97°, β = 94.97°, γ = 119.97°
Sites, in units of the cell vectors:
Nd (0.334, 0.666, 0.000)
Nd (0.666, 0.334, 0.000)
Ho (0.166, 0.834, 0.500)
Ho (0.834, 0.166, 0.500)
Ho (0.500, 0.500, 0.500)
Er (0.917, 0.586, 0.749)
Er (0.753, 0.753, 0.251)
Er (0.083, 0.414, 0.251)
Er (0.586, 0.917, 0.749)
Er (0.247, 0.247, 0.749)
Er (0.414, 0.083, 0.251)
Sc (0.000, 0.000, 0.000)